# 1
A plane-wave DFT calculation with PBE was carried out for a geometry-optimized Sm4Y2Er3 structure.

a = 3.5569 Å, b = 9.6814 Å, c = 8.8115 Å
α = 79.57°, β = 101.64°, γ = 90.00°
Fractional coordinates of all 9 atoms:
Er 0.0000 0.0000 0.0000
Er 0.1612 0.4583 0.3224
Er 0.8388 0.5417 0.6776
Sm 0.3385 0.2189 0.6770
Sm 0.6615 0.7811 0.3230
Sm 0.4987 0.6692 0.9973
Sm 0.5013 0.3308 0.0027
Y 0.3224 0.8777 0.6448
Y 0.6776 0.1223 0.3552

Computed properties:
* ΔE_f: 0.0490 eV per atom
* theoretical density: 7.28 g/cm³
* DOS(E_F): 1.84 states/eV/atom
* space group: C2/m, No. 12

=====

# 2
A plane-wave DFT calculation with PBE was carried out for a geometry-optimized Sm8YEr4 structure.

a = 7.2624 Å, b = 7.2624 Å, c = 10.3205 Å
α = 90.00°, β = 110.60°, γ = 120.00°
Fractional coordinates of all 13 atoms:
Er 0.0000 0.5000 0.0000
Er 0.0000 0.0000 0.0000
Er 0.5000 0.0000 0.0000
Er 0.5000 0.5000 0.0000
Y 0.0000 0.5000 0.5000
Sm 0.4275 0.2137 0.6412
Sm 0.0453 0.7972 0.2935
Sm 0.9547 0.2028 0.7065
Sm 0.0453 0.2481 0.2935
Sm 0.5725 0.7863 0.3588
Sm 0.9547 0.7519 0.7065
Sm 0.5037 0.7519 0.7065
Sm 0.4963 0.2481 0.2935

Computed properties:
* ΔE_f: 0.2058 eV per atom
* theoretical density: 7.56 g/cm³
* DOS(E_F): 1.03 states/eV/atom
* space group: R-3m, No. 166

=====

# 3
A plane-wave DFT calculation with PBE was carried out for a geometry-optimized SmY6Er5 structure.

a = 11.7690 Å, b = 6.1485 Å, c = 6.1430 Å
α = 59.97°, β = 85.02°, γ = 80.02°
Fractional coordinates of all 12 atoms:
Er 0.0000 0.3332 0.3335
Er 0.0000 0.6668 0.6665
Er 0.5000 0.8332 0.3337
Er 0.5000 0.1668 0.6663
Er 0.5000 0.5000 0.0000
Y 0.2510 0.2500 0.0000
Y 0.7490 0.7500 0.0000
Y 0.2513 0.5823 0.3338
Y 0.7487 0.4177 0.6662
Y 0.7487 0.0839 0.3338
Y 0.2513 0.9161 0.6662
Sm 0.0000 0.0000 0.0000

Computed properties:
* ΔE_f: 0.0240 eV per atom
* theoretical density: 6.66 g/cm³
* DOS(E_F): 1.45 states/eV/atom
* space group: C2/m, No. 12